A plane-wave DFT calculation with PBE was carried out for a relaxed FeCo9Ni3 crystal.

Lattice parameters (Å, degrees): 5.3191 7.5973 7.8107 120.93 90.00 133.06
Last column: magnetic moment on the atom in μB.
Element x y z (fractional)
1 Co 0.7390 0.0006 0.7598  1.69
2 Co 0.7390 0.0006 0.2408  1.69
3 Fe 0.0000 0.0000 0.0000  2.73
4 Ni 0.5000 0.0000 0.5000  0.78
5 Co 0.2605 0.5315 0.7657  1.75
6 Co 0.2610 0.9994 0.2402  1.69
7 Ni 0.5000 0.5000 0.5000  0.76
8 Co 0.7395 0.4685 0.2343  1.75
9 Co 0.2610 0.9994 0.7592  1.69
10 Co 0.0000 0.5000 0.0000  1.78
11 Co 0.0000 0.0000 0.5000  1.89
12 Co 0.0000 0.5000 0.5000  1.78
13 Ni 0.5000 0.5000 0.0000  0.76

Values from the calculation:
Symmetry: C2/m
ΔE_f in eV per formula unit: 4.933
Size of the total moment in μB/cell: 20.386
Crystal system: monoclinic

A plane-wave DFT calculation with PBE was carried out for a relaxed K2TbI6 crystal.

Lattice parameters (Å, degrees): 8.5268 9.2414 10.5585 90.00 92.38 90.00
Element x y z (fractional)
1 I 0.6690 0.2168 0.9422
2 I 0.8778 0.9739 0.2290
3 K 0.4799 0.1004 0.2566
4 I 0.1222 0.0261 0.7710
5 Tb 0.5000 0.5000 0.0000
6 I 0.7914 0.6755 0.9358
7 I 0.7086 0.1755 0.5642
8 I 0.6222 0.4739 0.2710
9 I 0.8310 0.7168 0.5578
10 I 0.3310 0.7832 0.0578
11 K 0.0201 0.6004 0.2434
12 I 0.3778 0.5261 0.7290
13 I 0.1690 0.2832 0.4422
14 I 0.2086 0.3245 0.0642
15 Tb 0.0000 0.0000 0.5000
16 K 0.5201 0.8996 0.7434
17 I 0.2914 0.8245 0.4358
18 K 0.9799 0.3996 0.7566

Values from the calculation:
ΔE_f (raw) in eV per atom: -1.21
Symmetry: P2_1/c
Size of the total moment in μB/cell: 0.001
Crystal system: monoclinic

A plane-wave DFT calculation with PBE was carried out for a relaxed K2Tl crystal.

Lattice parameters (Å, degrees): 7.6237 7.6237 9.9840 70.42 70.42 32.51
Element x y z (fractional)
1 Tl 0.2894 0.2894 0.8464
2 K 0.9462 0.9462 0.0042
3 K 0.2990 0.2990 0.4481
4 Tl 0.6550 0.6550 0.7648
5 K 0.9983 0.9983 0.6069
6 K 0.6455 0.6455 0.1630

Values from the calculation:
Symmetry: C2/m
Energy relative to the lowest polymorph listed for this composition in eV per atom: 0.012
ΔE_f in eV per formula unit: -0.154
Size of the total moment in μB/cell: 0.000
Crystal system: monoclinic

A plane-wave DFT calculation with PBE was carried out for a relaxed NbCu2Au crystal.

Lattice parameters (Å, degrees): 4.3769 4.3769 4.3769 60.00 60.00 60.00
Element x y z (fractional)
1 Au 0.5000 0.5000 0.5000
2 Cu 0.2500 0.2500 0.2500
3 Nb 0.0000 0.0000 0.0000
4 Cu 0.7500 0.7500 0.7500

Values from the calculation:
Symmetry: Fm-3m
Energy relative to the lowest polymorph listed for this composition in eV per atom: 0.000
ΔE_f in eV per formula unit: 0.061
Size of the total moment in μB/cell: 0.000
Crystal system: cubic

> What is the formula in the first record?

FeCo9Ni3